1.
{"formula": "YCr2Br", "functional": "PBE", "state": "optimized geometry", "magnetic_moment_mub_per_cell": 8.0, "sg": "Pmmm, No. 47", "mass_density_g_cm3": 5.14, "dos_at_fermi_per_ev_atom": 0.9566, "polymorph_energy_mev_per_atom": 468.6, "formation_energy_uncorrected_ev_per_fu": 1.9, "lattice_angstrom": [[-0.2616, 3.2949, -0.6694], [-3.3418, 0.4711, 3.6248], [3.8694, 1.0055, 3.4366]], "species": ["Cr", "Y", "Cr", "Br"], "fractional_positions": [[0.0000, 0.0000, 0.0000], [0.5000, 0.0000, 0.5000], [0.5000, 0.5000, 0.0000], [0.0000, 0.5000, 0.5000]]}

***

2.
{"formula": "Pm8IrRh3Cl4", "functional": "PBE", "state": "optimized geometry", "magnetic_moment_mub_per_cell": 0.0, "sg": "R-3m, No. 166", "mass_density_g_cm3": 6.92, "dos_at_fermi_per_ev_atom": 0.2582, "formation_energy_uncorrected_ev_per_fu": -19.0, "lattice_angstrom": [[8.1430, 0.0000, 0.0000], [0.0000, 8.8661, 0.5031], [-4.0715, -4.0662, 5.7593]], "species": ["Pm", "Rh", "Cl", "Pm", "Cl", "Rh", "Pm", "Pm", "Pm", "Rh", "Pm", "Pm", "Ir", "Cl", "Cl", "Pm"], "fractional_positions": [[0.7657, 0.2960, 0.5315], [0.5000, 0.5000, 0.0000], [0.0000, 0.0000, 0.5000], [0.7656, 0.2960, 0.0300], [0.0000, 0.0000, 0.0000], [0.5000, 0.5000, 0.5000], [0.2343, 0.7040, 0.4685], [0.7348, 0.7039, 0.4696], [0.2344, 0.7040, 0.9700], [0.0000, 0.5000, 0.5000], [0.2644, 0.2960, 0.0300], [0.7356, 0.7040, 0.9700], [0.0000, 0.5000, 0.0000], [0.5000, 0.0000, 0.5000], [0.5000, 0.0000, 0.0000], [0.2652, 0.2961, 0.5304]]}

***

3.
{"formula": "GdPuRu", "functional": "PBE", "state": "optimized geometry", "delta_e_f_ev_per_atom": -0.039, "magnetic_moment_mub_per_cell": 1.6, "sg": "P3m1, No. 156", "mass_density_g_cm3": 12.90, "dos_at_fermi_per_ev_atom": 2.2305, "polymorph_energy_mev_per_atom": 74.3, "lattice_angstrom": [[-1.2522, 0.0803, -3.0915], [-4.3714, -0.4134, 1.7599], [1.8906, 4.2865, -0.6545]], "species": ["Ru", "Pu", "Gd"], "fractional_positions": [[0.0471, 0.0000, 0.0000], [0.2715, 0.3333, 0.6667], [0.6814, 0.6667, 0.3333]]}

***

4.
{"formula": "HfScReOs", "functional": "PBE", "state": "optimized geometry", "delta_e_f_ev_per_atom": -0.302, "magnetic_moment_mub_per_cell": 0.0, "sg": "F-43m, No. 216", "mass_density_g_cm3": 14.54, "dos_at_fermi_per_ev_atom": 1.0897, "lattice_angstrom": [[4.5924, 0.0000, 0.0000], [2.2962, 3.9771, 0.0000], [2.2962, 1.3257, 3.7497]], "species": ["Os", "Hf", "Sc", "Re"], "fractional_positions": [[0.0000, 0.0000, 0.0000], [0.2500, 0.2500, 0.2500], [0.7500, 0.7500, 0.7500], [0.5000, 0.5000, 0.5000]]}

***

5.
{"formula": "Sr2NiAuCl", "functional": "PBE", "state": "optimized geometry", "magnetic_moment_mub_per_cell": 0.0, "sg": "P4/mmm, No. 123", "mass_density_g_cm3": 5.37, "dos_at_fermi_per_ev_atom": 0.6099, "formation_energy_uncorrected_ev_per_fu": -2.1, "lattice_angstrom": [[5.7664, 0.0000, 0.0000], [0.0000, 4.3387, 0.0000], [0.0000, 0.0000, 5.7664]], "species": ["Ni", "Au", "Sr", "Sr", "Cl"], "fractional_positions": [[0.0000, 0.0000, 0.0000], [0.5000, 0.5000, 0.5000], [0.0000, 0.0000, 0.5000], [0.5000, 0.0000, 0.0000], [0.0000, 0.5000, 0.0000]]}

***

6.
{"formula": "Mg2In", "functional": "PBE", "state": "optimized geometry", "delta_e_f_ev_per_atom": 0.012, "magnetic_moment_mub_per_cell": 0.0, "sg": "I4/mcm, No. 140", "mass_density_g_cm3": 3.67, "dos_at_fermi_per_ev_atom": 0.2337, "lattice_angstrom": [[-3.5853, 3.5853, 2.8773], [3.5853, -3.5853, 2.8773], [3.5853, 3.5853, -2.8773]], "species": ["Mg", "In", "Mg", "In", "Mg", "Mg"], "fractional_positions": [[0.6500, 0.8500, 0.5000], [0.2500, 0.2500, 0.0000], [0.8500, 0.3500, 0.1999], [0.7500, 0.7500, 0.0000], [0.3500, 0.1500, 0.5000], [0.1500, 0.6500, 0.8001]]}